Compound: BaAsBr
Source: Alexandria via LeMat-Bulk
Functional: PBE
Structure: optimized geometry

Density: 4.32 Mg/m³
E_form (uncorrected): -0.620 eV/atom

Unit cell a=5.416 b=5.416 c=5.416 alpha=60.00 beta=60.00 gamma=60.00
Last column: magnetic moment on the atom in μB.
Fractional positions:
1 As 0.000 0.000 0.000  0.70
2 Ba 0.500 0.500 0.500  0.05
3 Br 0.750 0.750 0.750  0.20